[1]
Computed, not measured: a relaxed Ac3TcBi crystal at the PBE level of DFT.

Calculated values
space-group type = Pm-3m (221)
formation energy = -0.233 eV per atom
total magnetization = 0.0 μB/f.u.
density = 9.0 g/cm³
D(E_F) = 1.051 states/eV per atom

Unit cell a=5.6759 b=5.6759 c=5.6759 alpha=90.00 beta=90.00 gamma=90.00
Element x y z (fractional)
Ac 0.0000 0.0000 0.5000
Ac 0.0000 0.5000 0.0000
Ac 0.5000 0.0000 0.0000
Tc 0.0000 0.0000 0.0000
Bi 0.5000 0.5000 0.5000



[2]
Computed, not measured: a relaxed AcTcBi2 crystal at the PBE level of DFT.

Calculated values
space-group type = P4/mmm (123)
formation energy = 0.256 eV per atom
total magnetization = 2.8 μB/f.u.
density = 10.6 g/cm³
D(E_F) = 0.998 states/eV per atom

Unit cell a=4.9969 b=4.9969 c=4.6445 alpha=90.00 beta=90.00 gamma=90.00
Element x y z (fractional)
Ac 0.0000 0.0000 0.0000
Tc 0.5000 0.5000 0.0000
Bi 0.0000 0.5000 0.5000
Bi 0.5000 0.0000 0.5000



[3]
Computed, not measured: a relaxed Ac2TcBi crystal at the PBE level of DFT.

Calculated values
space-group type = P4/mmm (123)
formation energy = 0.056 eV per atom
polymorph energy (0 for the lowest one) = 0 meV/atom
total magnetization = 0.8 μB/f.u.
density = 10.3 g/cm³
D(E_F) = 1.175 states/eV per atom

Unit cell a=5.3579 b=5.3579 c=4.2924 alpha=90.00 beta=90.00 gamma=90.00
Element x y z (fractional)
Ac 0.0000 0.5000 0.0000
Ac 0.5000 0.0000 0.0000
Tc 0.0000 0.0000 0.5000
Bi 0.5000 0.5000 0.5000



[4]
Computed, not measured: a relaxed Ac3BiTe3 crystal at the PBE level of DFT.

Calculated values
formation energy from raw total energies = -1.31 eV per atom
space-group type = Pm-3m (221)
total magnetization = 0.0 μB/f.u.
density = 6.9 g/cm³
D(E_F) = 0.032 states/eV per atom

Unit cell a=6.7372 b=6.7372 c=6.7372 alpha=90.00 beta=90.00 gamma=90.00
Element x y z (fractional)
Ac 0.0000 0.0000 0.5000
Ac 0.0000 0.5000 0.0000
Ac 0.5000 0.0000 0.0000
Bi 0.0000 0.0000 0.0000
Te 0.0000 0.5000 0.5000
Te 0.5000 0.0000 0.5000
Te 0.5000 0.5000 0.0000



[5]
Computed, not measured: a relaxed AcBiTe crystal at the PBE level of DFT.

Calculated values
formation energy from raw total energies = -1.07 eV per atom
space-group type = C2/m (12)
polymorph energy (0 for the lowest one) = 127 meV/atom
total magnetization = 0.0 μB/f.u.
density = 8.1 g/cm³
D(E_F) = 0.262 states/eV per atom

Unit cell a=4.6501 b=4.6501 c=11.1326 alpha=101.97 beta=101.97 gamma=89.34
Element x y z (fractional)
Ac 0.1530 0.1530 0.2986
Ac 0.8470 0.8470 0.7014
Bi 0.2299 0.2299 0.9973
Bi 0.7701 0.7701 0.0027
Te 0.3097 0.3097 0.6239
Te 0.6903 0.6903 0.3761



[6]
Computed, not measured: a relaxed AcBiTe crystal at the PBE level of DFT.

Calculated values
formation energy from raw total energies = -0.95 eV per atom
space-group type = C2/m (12)
polymorph energy (0 for the lowest one) = 245 meV/atom
total magnetization = 0.0 μB/f.u.
density = 8.0 g/cm³
D(E_F) = 0.712 states/eV per atom

Unit cell a=8.6073 b=8.6073 c=4.6420 alpha=105.50 beta=105.50 gamma=45.39
Element x y z (fractional)
Ac 0.1571 0.1571 0.1554
Ac 0.8429 0.8429 0.8446
Bi 0.2241 0.7759 0.5000
Bi 0.7759 0.2241 0.5000
Te 0.3146 0.3146 0.8119
Te 0.6854 0.6854 0.1881



[7]
Computed, not measured: a relaxed Ac3Bi5Te12 crystal at the PBE level of DFT.

Calculated values
formation energy from raw total energies = -0.64 eV per atom
space-group type = Ia-3d (230)
total magnetization = 0.0 μB/f.u.
density = 6.5 g/cm³

Unit cell a=16.3271 b=16.3271 c=16.3271 alpha=109.47 beta=109.47 gamma=109.47
Element x y z (fractional)
Ac 0.1250 0.2500 0.3750
Ac 0.1250 0.3750 0.7500
Ac 0.2500 0.3750 0.1250
Ac 0.2500 0.8750 0.6250
Ac 0.3750 0.1250 0.2500
Ac 0.3750 0.7500 0.1250
Ac 0.6250 0.2500 0.8750
Ac 0.6250 0.8750 0.7500
Ac 0.7500 0.1250 0.3750
Ac 0.7500 0.6250 0.8750
Ac 0.8750 0.6250 0.2500
Ac 0.8750 0.7500 0.6250
Bi 0.0000 0.0000 0.0000
Bi 0.0000 0.0000 0.5000
Bi 0.0000 0.5000 0.0000
Bi 0.0000 0.5000 0.5000
Bi 0.1250 0.7500 0.8750
Bi 0.1250 0.8750 0.2500
Bi 0.2500 0.1250 0.8750
Bi 0.2500 0.6250 0.3750
Bi 0.3750 0.2500 0.6250
Bi 0.3750 0.6250 0.7500
Bi 0.5000 0.0000 0.0000
Bi 0.5000 0.0000 0.5000
Bi 0.5000 0.5000 0.0000
Bi 0.5000 0.5000 0.5000
Bi 0.6250 0.3750 0.2500
Bi 0.6250 0.7500 0.3750
Bi 0.7500 0.3750 0.6250
Bi 0.7500 0.8750 0.1250
Bi 0.8750 0.1250 0.7500
Bi 0.8750 0.2500 0.1250
Te 0.0491 0.2186 0.1343
Te 0.0491 0.3305 0.9148
Te 0.0843 0.7186 0.6695
Te 0.0843 0.8657 0.4148
Te 0.0852 0.6343 0.4157
Te 0.0852 0.9509 0.6695
Te 0.1343 0.0491 0.2186
Te 0.1343 0.5852 0.9157
Te 0.1695 0.2186 0.5843
Te 0.1695 0.4509 0.5852
Te 0.2186 0.1343 0.0491
Te 0.2186 0.5843 0.1695
Te 0.2814 0.3305 0.9157
Te 0.2814 0.4509 0.3657
Te 0.3305 0.9148 0.0491
Te 0.3305 0.9157 0.2814
Te 0.3657 0.2814 0.4509
Te 0.3657 0.5843 0.9148
Te 0.4148 0.0843 0.8657
Te 0.4148 0.8305 0.5491
Te 0.4157 0.0852 0.6343
Te 0.4157 0.8305 0.7814
Te 0.4509 0.3657 0.2814
Te 0.4509 0.5852 0.1695
Te 0.5491 0.4148 0.8305
Te 0.5491 0.6343 0.7186
Te 0.5843 0.1695 0.2186
Te 0.5843 0.9148 0.3657
Te 0.5852 0.1695 0.4509
Te 0.5852 0.9157 0.1343
Te 0.6343 0.4157 0.0852
Te 0.6343 0.7186 0.5491
Te 0.6695 0.0843 0.7186
Te 0.6695 0.0852 0.9509
Te 0.7186 0.5491 0.6343
Te 0.7186 0.6695 0.0843
Te 0.7814 0.4157 0.8305
Te 0.7814 0.8657 0.9509
Te 0.8305 0.5491 0.4148
Te 0.8305 0.7814 0.4157
Te 0.8657 0.4148 0.0843
Te 0.8657 0.9509 0.7814
Te 0.9148 0.0491 0.3305
Te 0.9148 0.3657 0.5843
Te 0.9157 0.1343 0.5852
Te 0.9157 0.2814 0.3305
Te 0.9509 0.6695 0.0852
Te 0.9509 0.7814 0.8657



[8]
Computed, not measured: a relaxed Ac5BiTe4 crystal at the PBE level of DFT.

Calculated values
formation energy from raw total energies = -1.40 eV per atom
space-group type = I4/mmm (139)
total magnetization = 0.0 μB/f.u.
density = 8.1 g/cm³
D(E_F) = 0.467 states/eV per atom

Unit cell a=17.1650 b=17.1650 c=17.1650 alpha=164.05 beta=164.05 gamma=22.63
Element x y z (fractional)
Ac 0.0000 0.0000 0.0000
Ac 0.2009 0.2009 0.0000
Ac 0.3998 0.3998 0.0000
Ac 0.6002 0.6002 0.0000
Ac 0.7991 0.7991 0.0000
Bi 0.5000 0.5000 0.0000
Te 0.1007 0.1007 0.0000
Te 0.3001 0.3001 0.0000
Te 0.6999 0.6999 0.0000
Te 0.8993 0.8993 0.0000



[9]
Computed, not measured: a relaxed Ac3BiTe6 crystal at the PBE level of DFT.

Calculated values
formation energy from raw total energies = -1.21 eV per atom
space-group type = Cmc2_1 (36)
total magnetization = 0.0 μB/f.u.
density = 6.7 g/cm³

Unit cell a=10.2230 b=10.2230 c=8.0485 alpha=90.00 beta=90.00 gamma=102.88
Element x y z (fractional)
Ac 0.0980 0.9020 0.5000
Ac 0.2170 0.4169 0.3985
Ac 0.4169 0.2170 0.8985
Ac 0.5831 0.7830 0.3985
Ac 0.7830 0.5831 0.8985
Ac 0.9020 0.0980 0.0000
Bi 0.3260 0.6740 0.8770
Bi 0.6740 0.3260 0.3770
Te 0.0722 0.5926 0.6876
Te 0.1319 0.1953 0.7005
Te 0.1953 0.1319 0.2005
Te 0.2676 0.7324 0.2429
Te 0.4074 0.9278 0.6876
Te 0.4920 0.5080 0.6444
Te 0.5080 0.4920 0.1444
Te 0.5926 0.0722 0.1876
Te 0.7324 0.2676 0.7429
Te 0.8047 0.8681 0.7005
Te 0.8681 0.8047 0.2005
Te 0.9278 0.4074 0.1876



[10]
Computed, not measured: a relaxed AcBiTe crystal at the PBE level of DFT.

Calculated values
formation energy from raw total energies = -0.64 eV per atom
space-group type = P-6m2 (187)
polymorph energy (0 for the lowest one) = 552 meV/atom
total magnetization = 0.0 μB/f.u.
density = 8.9 g/cm³
D(E_F) = 0.781 states/eV per atom

Unit cell a=5.4823 b=5.4823 c=4.0306 alpha=90.00 beta=90.00 gamma=120.00
Element x y z (fractional)
Ac 0.0000 0.0000 0.0000
Bi 0.6667 0.3333 0.5000
Te 0.3333 0.6667 0.5000



[11]
Computed, not measured: a relaxed AcBiTe crystal at the PBE level of DFT.

Calculated values
formation energy from raw total energies = -0.81 eV per atom
space-group type = I4mm (107)
polymorph energy (0 for the lowest one) = 388 meV/atom
total magnetization = 0.0 μB/f.u.
density = 8.8 g/cm³
D(E_F) = 0.903 states/eV per atom

Unit cell a=6.2339 b=6.2339 c=6.2339 alpha=138.18 beta=138.18 gamma=60.63
Element x y z (fractional)
Ac 0.0000 0.0000 0.0000
Bi 0.6532 0.6532 0.0000
Te 0.3603 0.3603 0.0000



[12]
Computed, not measured: a relaxed Ac5Bi4Te crystal at the PBE level of DFT.

Calculated values
formation energy from raw total energies = -1.12 eV per atom
space-group type = Immm (71)
total magnetization = 0.0 μB/f.u.
density = 8.6 g/cm³
D(E_F) = 0.348 states/eV per atom

Unit cell a=12.8290 b=12.8290 c=12.8290 alpha=158.16 beta=148.99 gamma=38.25
Element x y z (fractional)
Ac 0.0000 0.0000 0.0000
Ac 0.2002 0.2002 0.0000
Ac 0.3986 0.3986 0.0000
Ac 0.6014 0.6014 0.0000
Ac 0.7998 0.7998 0.0000
Bi 0.0991 0.5991 0.5000
Bi 0.3008 0.8008 0.5000
Bi 0.6992 0.1992 0.5000
Bi 0.9009 0.4009 0.5000
Te 0.5000 0.0000 0.5000



[13]
Computed, not measured: a relaxed AcBiTe crystal at the PBE level of DFT.

Calculated values
formation energy from raw total energies = -0.60 eV per atom
space-group type = F-43m (216)
polymorph energy (0 for the lowest one) = 598 meV/atom
total magnetization = 0.0 μB/f.u.
density = 7.5 g/cm³
D(E_F) = 1.657 states/eV per atom

Unit cell a=5.6093 b=5.6093 c=5.6093 alpha=60.00 beta=60.00 gamma=60.00
Element x y z (fractional)
Ac 0.0000 0.0000 0.0000
Bi 0.7500 0.7500 0.7500
Te 0.2500 0.2500 0.2500



[14]
Computed, not measured: a relaxed Ac5Bi2Te2 crystal at the PBE level of DFT.

Calculated values
formation energy from raw total energies = -1.02 eV per atom
space-group type = Cmce (64)
total magnetization = 0.0 μB/f.u.
density = 8.8 g/cm³
D(E_F) = 0.935 states/eV per atom

Unit cell a=9.6202 b=9.6202 c=8.9755 alpha=90.00 beta=90.00 gamma=54.88
Element x y z (fractional)
Ac 0.0000 0.0000 0.0000
Ac 0.0198 0.7028 0.6551
Ac 0.2028 0.5198 0.1551
Ac 0.2972 0.9802 0.6551
Ac 0.4802 0.7972 0.1551
Ac 0.5000 0.5000 0.5000
Ac 0.5198 0.2028 0.8449
Ac 0.7028 0.0198 0.3449
Ac 0.7972 0.4802 0.8449
Ac 0.9802 0.2972 0.3449
Bi 0.1441 0.8559 0.3557
Bi 0.3559 0.6441 0.8557
Bi 0.6441 0.3559 0.1443
Bi 0.8559 0.1441 0.6443
Te 0.1956 0.1956 0.0000
Te 0.3044 0.3044 0.5000
Te 0.6956 0.6956 0.5000
Te 0.8044 0.8044 0.0000



[15]
Computed, not measured: a relaxed Ac6Bi5Te crystal at the PBE level of DFT.

Calculated values
formation energy from raw total energies = -1.11 eV per atom
space-group type = C2/m (12)
total magnetization = 0.0 μB/f.u.
density = 8.7 g/cm³
D(E_F) = 0.324 states/eV per atom

Unit cell a=8.4082 b=8.4082 c=8.4180 alpha=99.58 beta=99.58 gamma=119.92
Element x y z (fractional)
Ac 0.0806 0.4161 0.7484
Ac 0.2482 0.2482 0.2517
Ac 0.4161 0.0806 0.7484
Ac 0.5839 0.9194 0.2516
Ac 0.7518 0.7518 0.7483
Ac 0.9194 0.5839 0.2516
Bi 0.0000 0.0000 0.5000
Bi 0.1669 0.8331 0.0000
Bi 0.3342 0.6659 0.5000
Bi 0.6659 0.3342 0.5000
Bi 0.8331 0.1669 0.0000
Te 0.5000 0.5000 0.0000



[16]
Computed, not measured: a relaxed AcBiTe crystal at the PBE level of DFT.

Calculated values
formation energy from raw total energies = -1.19 eV per atom
space-group type = I4/mmm (139)
polymorph energy (0 for the lowest one) = 0 meV/atom
total magnetization = 0.0 μB/f.u.
density = 8.7 g/cm³
D(E_F) = 0.458 states/eV per atom

Unit cell a=10.5466 b=10.5466 c=10.5466 alpha=154.68 beta=154.68 gamma=36.12
Element x y z (fractional)
Ac 0.1431 0.1431 0.0000
Ac 0.8569 0.8569 0.0000
Bi 0.0000 0.5000 0.5000
Bi 0.5000 0.0000 0.5000
Te 0.3139 0.3139 0.0000
Te 0.6861 0.6861 0.0000



[17]
Computed, not measured: a relaxed AcBi4Te crystal at the PBE level of DFT.

Calculated values
formation energy from raw total energies = -0.24 eV per atom
space-group type = F-43m (216)
total magnetization = 0.0 μB/f.u.
density = 9.8 g/cm³
D(E_F) = 0.985 states/eV per atom

Unit cell a=6.5799 b=6.5799 c=6.5799 alpha=60.00 beta=60.00 gamma=60.00
Element x y z (fractional)
Ac 0.0000 0.0000 0.0000
Bi 0.1289 0.6237 0.6237
Bi 0.6237 0.1289 0.6237
Bi 0.6237 0.6237 0.1289
Bi 0.6237 0.6237 0.6237
Te 0.2500 0.2500 0.2500



[18]
Computed, not measured: a relaxed Ac6BiTe12 crystal at the PBE level of DFT.

Calculated values
formation energy from raw total energies = -1.20 eV per atom
space-group type = R-3 (148)
total magnetization = 0.0 μB/f.u.
density = 6.5 g/cm³
D(E_F) = 0.959 states/eV per atom

Unit cell a=9.3753 b=9.3753 c=9.3753 alpha=98.46 beta=98.46 gamma=98.46
Element x y z (fractional)
Ac 0.1407 0.8205 0.6367
Ac 0.1795 0.3633 0.8593
Ac 0.3633 0.8593 0.1795
Ac 0.6367 0.1407 0.8205
Ac 0.8205 0.6367 0.1407
Ac 0.8593 0.1795 0.3633
Bi 0.5000 0.5000 0.5000
Te 0.0699 0.9246 0.3168
Te 0.0754 0.6832 0.9301
Te 0.1612 0.4607 0.5162
Te 0.3168 0.0699 0.9246
Te 0.4607 0.5162 0.1612
Te 0.4838 0.8388 0.5393
Te 0.5162 0.1612 0.4607
Te 0.5393 0.4838 0.8388
Te 0.6832 0.9301 0.0754
Te 0.8388 0.5393 0.4838
Te 0.9246 0.3168 0.0699
Te 0.9301 0.0754 0.6832



[19]
Computed, not measured: a relaxed Ac5BiTe4 crystal at the PBE level of DFT.

Calculated values
formation energy from raw total energies = -1.40 eV per atom
space-group type = Immm (71)
total magnetization = 0.0 μB/f.u.
density = 8.1 g/cm³
D(E_F) = 0.524 states/eV per atom

Unit cell a=12.5762 b=12.5762 c=12.5762 alpha=158.09 beta=148.99 gamma=38.29
Element x y z (fractional)
Ac 0.0000 0.0000 0.0000
Ac 0.1999 0.1999 0.0000
Ac 0.3993 0.3993 0.0000
Ac 0.6007 0.6007 0.0000
Ac 0.8001 0.8001 0.0000
Bi 0.5000 0.0000 0.5000
Te 0.1004 0.6004 0.5000
Te 0.2992 0.7992 0.5000
Te 0.7008 0.2008 0.5000
Te 0.8996 0.3996 0.5000



[20]
Computed, not measured: a relaxed Ac2ThBi2Te2 crystal at the PBE level of DFT.

Calculated values
formation energy from raw total energies = -0.78 eV per atom
space-group type = I4/mmm (139)
total magnetization = 0.0 μB/f.u.
density = 7.3 g/cm³
D(E_F) = 0.098 states/eV per atom

Unit cell a=9.3021 b=9.3021 c=9.3021 alpha=141.66 beta=141.66 gamma=55.34
Element x y z (fractional)
Ac 0.1213 0.1213 0.0000
Ac 0.8787 0.8787 0.0000
Th 0.5000 0.5000 0.0000
Bi 0.0000 0.5000 0.5000
Bi 0.5000 0.0000 0.5000
Te 0.3120 0.3120 0.0000
Te 0.6880 0.6880 0.0000